NdZnCu2Ir | GGA-PBE | relaxed

Summary:
The space group is Imm2 (44). For the total DFT energy (no corrections), the calculation gives -24.4 eV per cell.

Cell: 6.2671 6.2671 6.2671 Å, 143.03 142.52 53.66°
With the nearest neighbours (Å) after each atom.
Atoms (fractional coordinates):
Nd 0.0000 0.0000 0.0000  4 Ir 3.03, 6 Cu 3.15-3.36
Zn 0.2547 0.7547 0.5000  2 Cu 2.49, 2 Ir 2.58
Cu 0.6241 0.6241 0.0000  1 Ir 2.48, 2 Zn 2.49, 2 Cu 2.49
Cu 0.7583 0.2583 0.5000  2 Cu 2.49, 2 Ir 2.58
Ir 0.4020 0.4020 0.0000  3 Cu 2.48-2.58, 2 Zn 2.58


SrSb2Au | GGA-PBE | relaxed

Summary:
The formation energy from raw total energies is -393 meV per atom. The space group is R3m (160).

Cell: 6.0937 6.0937 6.0937 Å, 48.97 48.97 48.97°
With the nearest neighbours (Å) after each atom.
Atoms (fractional coordinates):
Sr 0.0000 0.0000 0.0000  4 Au 3.39-3.62, 7 Sb 3.40-3.78
Sb 0.2115 0.2115 0.2115  3 Sb 3.08, 3 Au 3.36, 1 Sr 3.40
Sb 0.4829 0.4829 0.4829  3 Au 2.99, 3 Sb 3.08
Au 0.7744 0.7744 0.7744  3 Sb 2.99


LiDyGaCo | GGA-PBE | relaxed

Summary:
The space group is F-43m (216). For the total DFT energy (no corrections), the calculation gives -17.6 eV per cell.

Cell: 4.4986 4.4986 4.4986 Å, 60.00 60.00 60.00°
With the nearest neighbours (Å) after each atom.
Atoms (fractional coordinates):
Li 0.0000 0.0000 0.0000  4 Dy 2.75, 4 Ga 2.75
Dy 0.7500 0.7500 0.7500  4 Co 2.75, 4 Li 2.75
Ga 0.2500 0.2500 0.2500  4 Co 2.75, 4 Li 2.75
Co 0.5000 0.5000 0.5000  4 Dy 2.75, 4 Ga 2.75


Sm2Ho3Pt4 | GGA-PBE | relaxed

Summary:
The space group is P2_1/c (14). For the total DFT energy (no corrections), the calculation gives -115.7 eV per cell.

Cell: 7.6306 7.6653 7.7173 Å, 90.00 109.50 90.00°
With the nearest neighbours (Å) after each atom.
Atoms (fractional coordinates):
Sm 0.1959 0.1783 0.0788  6 Pt 2.98-3.29
Sm 0.1959 0.3217 0.5788  6 Pt 2.98-3.29
Sm 0.8041 0.6783 0.4212  6 Pt 2.98-3.29
Sm 0.8041 0.8217 0.9212  6 Pt 2.98-3.29
Ho 0.2443 0.6650 0.2477  6 Pt 2.83-3.00
Ho 0.2443 0.8350 0.7477  6 Pt 2.83-3.00
Ho 0.5000 0.0000 0.5000  6 Pt 2.97-3.05
Ho 0.5000 0.5000 0.0000  6 Pt 2.97-3.05
Ho 0.7557 0.1650 0.2523  6 Pt 2.83-3.00
Ho 0.7557 0.3350 0.7523  6 Pt 2.83-3.00
Pt 0.0895 0.5369 0.8586  4 Ho 2.83-3.00, 1 Pt 2.99, 1 Sm 3.03
Pt 0.0895 0.9631 0.3586  4 Ho 2.83-3.00, 1 Pt 2.99, 1 Sm 3.03
Pt 0.4951 0.1344 0.8701  1 Pt 2.86, 5 Ho 2.89-3.05, 1 Sm 2.98
Pt 0.4951 0.3656 0.3701  1 Pt 2.86, 5 Ho 2.89-3.05, 1 Sm 2.98
Pt 0.5049 0.6344 0.6299  1 Pt 2.86, 5 Ho 2.89-3.05, 1 Sm 2.98
Pt 0.5049 0.8656 0.1299  1 Pt 2.86, 5 Ho 2.89-3.05, 1 Sm 2.98
Pt 0.9105 0.0369 0.6414  4 Ho 2.83-3.00, 1 Pt 2.99, 1 Sm 3.03
Pt 0.9105 0.4631 0.1414  4 Ho 2.83-3.00, 1 Pt 2.99, 1 Sm 3.03